Entry 1:
DFT (PBE-GGA) results for crystalline PaNiB2Os2 at its relaxed geometry.

## Properties
Theoretical density (g/cm³): 14.10
D(E_F) (states/eV/cell): 4.4
ΔE_f (meV/atom): 142
Final energy (eV/atom): -8.3733

Unit cell a=3.845 b=3.845 c=5.509 alpha=90.00 beta=90.00 gamma=90.00
Element x y z (fractional)
Pa: 0.000 0.000 0.500
Ni: 0.000 0.000 0.000
Os: 0.500 0.500 0.761
Os: 0.500 0.500 0.239
B: 0.000 0.500 0.000
B: 0.500 0.000 0.000

Entry 2:
DFT (PBE-GGA) results for crystalline PmNiB2Os at its relaxed geometry.

## Properties
Theoretical density (g/cm³): 9.88
D(E_F) (states/eV/cell): 2.1
ΔE_f (meV/atom): -453
Final energy (eV/atom): -7.4765

Unit cell a=3.722 b=3.722 c=5.686 alpha=109.10 beta=109.10 gamma=90.00
Element x y z (fractional)
Ni: 0.750 0.250 0.500
B: 0.347 0.347 0.693
B: 0.653 0.653 0.307
Os: 0.250 0.750 0.500
Pm: 0.000 0.000 0.000

Entry 3:
DFT (PBE-GGA) results for crystalline NiB2OsRu at its relaxed geometry.

## Properties
Theoretical density (g/cm³): 9.43
D(E_F) (states/eV/cell): 4.9
ΔE_f (meV/atom): 1390
Final energy (eV/atom): -6.5384

Unit cell a=3.640 b=4.937 c=3.640 alpha=90.00 beta=90.00 gamma=90.00
Element x y z (fractional)
Os: 0.000 0.500 0.000
Ni: 0.000 0.000 0.000
Ru: 0.500 0.500 0.500
B: 0.000 0.000 0.500
B: 0.500 0.000 0.000

Entry 4:
DFT (PBE-GGA) results for crystalline ScNi2BOs at its relaxed geometry.

## Properties
Theoretical density (g/cm³): 9.51
D(E_F) (states/eV/cell): 0.6
ΔE_f (meV/atom): -423
Final energy (eV/atom): -7.5831

Unit cell a=3.935 b=3.935 c=4.098 alpha=90.00 beta=90.00 gamma=90.00
Element x y z (fractional)
B: 0.000 0.000 0.000
Os: 0.000 0.000 0.500
Ni: 0.500 0.000 0.000
Ni: 0.000 0.500 0.000
Sc: 0.500 0.500 0.500

Entry 5:
DFT (PBE-GGA) results for crystalline NiBP3 at its relaxed geometry.

## Properties
Theoretical density (g/cm³): 4.18
D(E_F) (states/eV/cell): 2.0
ΔE_f (meV/atom): 842
Final energy (eV/atom): -4.8957
Energy above the most stable polymorph in this dataset (meV/atom): 0

Unit cell a=4.012 b=4.012 c=4.012 alpha=90.00 beta=90.00 gamma=90.00
Element x y z (fractional)
Ni: 0.500 0.500 0.500
B: 0.000 0.000 0.000
P: 0.000 0.000 0.500
P: 0.000 0.500 0.000
P: 0.500 0.000 0.000

Entry 6:
DFT (PBE-GGA) results for crystalline NiB3P at its relaxed geometry.

## Properties
Theoretical density (g/cm³): 3.65
D(E_F) (states/eV/cell): 2.9
ΔE_f (meV/atom): 1557
Final energy (eV/atom): -4.6874
Energy above the most stable polymorph in this dataset (meV/atom): 203

Unit cell a=3.815 b=3.815 c=3.815 alpha=90.00 beta=90.00 gamma=90.00
Element x y z (fractional)
P: 0.000 0.000 0.000
B: 0.500 0.000 0.000
B: 0.000 0.000 0.500
B: 0.000 0.500 0.000
Ni: 0.500 0.500 0.500

Entry 7:
DFT (PBE-GGA) results for crystalline NiBP3 at its relaxed geometry.

## Properties
Theoretical density (g/cm³): 3.29
D(E_F) (states/eV/cell): 4.2
ΔE_f (meV/atom): 1423
Final energy (eV/atom): -4.3148
Energy above the most stable polymorph in this dataset (meV/atom): 581

Unit cell a=4.342 b=4.342 c=4.342 alpha=90.00 beta=90.00 gamma=90.00
Element x y z (fractional)
P: 0.500 0.000 0.000
P: 0.000 0.500 0.000
P: 0.000 0.000 0.500
Ni: 0.000 0.000 0.000
B: 0.500 0.500 0.500

Entry 8:
DFT (PBE-GGA) results for crystalline NiBP2 at its relaxed geometry.

## Properties
Theoretical density (g/cm³): 3.92
D(E_F) (states/eV/cell): 1.3
ΔE_f (meV/atom): -80
Final energy (eV/atom): -5.8995

Unit cell a=3.164 b=4.154 c=4.845 alpha=86.45 beta=71.13 gamma=67.75
Element x y z (fractional)
P: 0.097 0.073 0.069
P: 0.698 0.421 0.522
Ni: 0.766 0.692 0.111
B: 0.133 0.345 0.729

Entry 9:
DFT (PBE-GGA) results for crystalline NiB3P at its relaxed geometry.

## Properties
Theoretical density (g/cm³): 3.65
D(E_F) (states/eV/cell): 2.2
ΔE_f (meV/atom): 1355
Final energy (eV/atom): -4.8901
Energy above the most stable polymorph in this dataset (meV/atom): 0

Unit cell a=3.816 b=3.816 c=3.816 alpha=90.00 beta=90.00 gamma=90.00
Element x y z (fractional)
B: 0.000 0.000 0.500
B: 0.000 0.500 0.000
B: 0.500 0.000 0.000
Ni: 0.000 0.000 0.000
P: 0.500 0.500 0.500

Entry 10:
DFT (PBE-GGA) results for crystalline NiBP2 at its relaxed geometry.

## Properties
Theoretical density (g/cm³): 4.21
D(E_F) (states/eV/cell): 1.3
ΔE_f (meV/atom): -71
Final energy (eV/atom): -5.8906

Unit cell a=3.126 b=3.277 c=5.960 alpha=83.90 beta=75.01 gamma=61.47
Element x y z (fractional)
B: 0.287 0.475 0.537
Ni: 0.909 0.552 0.227
P: 0.336 0.888 0.035
P: 0.566 0.823 0.632

Entry 11:
DFT (PBE-GGA) results for crystalline NiBP2 at its relaxed geometry.

## Properties
Theoretical density (g/cm³): 4.00
D(E_F) (states/eV/cell): 4.5
ΔE_f (meV/atom): -146
Final energy (eV/atom): -5.9656

Unit cell a=4.948 b=4.948 c=5.663 alpha=64.09 beta=64.09 gamma=90.00
Element x y z (fractional)
P: 0.375 0.413 0.750
P: 0.875 0.837 0.750
P: 0.587 0.125 0.250
P: 0.163 0.625 0.250
Ni: 0.000 0.000 0.000
Ni: 0.750 0.250 0.500
B: 0.250 0.750 0.500
B: 0.500 0.500 0.000

Entry 12:
DFT (PBE-GGA) results for crystalline Ni6BP at its relaxed geometry.

## Properties
Theoretical density (g/cm³): 7.35
D(E_F) (states/eV/cell): 4.5
ΔE_f (meV/atom): -123
Final energy (eV/atom): -5.9699

Unit cell a=4.944 b=4.944 c=5.080 alpha=60.88 beta=60.88 gamma=59.98
Element x y z (fractional)
Ni: 0.937 0.529 0.258
Ni: 0.063 0.471 0.742
Ni: 0.471 0.723 0.742
Ni: 0.529 0.277 0.258
Ni: 0.723 0.063 0.742
Ni: 0.277 0.937 0.258
B: 0.500 0.500 0.500
P: 0.000 0.000 0.000

Entry 13:
DFT (PBE-GGA) results for crystalline NiBP2 at its relaxed geometry.

## Properties
Theoretical density (g/cm³): 4.44
D(E_F) (states/eV/cell): 1.6
ΔE_f (meV/atom): -106
Final energy (eV/atom): -5.9252

Unit cell a=3.248 b=2.562 c=5.911 alpha=90.00 beta=90.00 gamma=90.00
Element x y z (fractional)
P: 0.000 0.000 0.522
P: 0.500 0.000 0.019
B: 0.500 0.000 0.696
Ni: 0.000 0.500 0.195

Entry 14:
DFT (PBE-GGA) results for crystalline NiBP2 at its relaxed geometry.

## Properties
Theoretical density (g/cm³): 4.00
D(E_F) (states/eV/cell): 1.2
ΔE_f (meV/atom): -49
Final energy (eV/atom): -5.8681

Unit cell a=3.216 b=3.774 c=5.238 alpha=85.79 beta=72.10 gamma=64.78
Element x y z (fractional)
P: 0.367 0.851 0.414
P: 0.762 0.435 0.039
B: 0.738 0.156 0.367
Ni: 0.395 0.460 0.748

Entry 15:
DFT (PBE-GGA) results for crystalline NiB2P at its relaxed geometry.

## Properties
Theoretical density (g/cm³): 4.00
D(E_F) (states/eV/cell): 4.4
ΔE_f (meV/atom): 301
Final energy (eV/atom): -5.8358

Unit cell a=4.653 b=4.653 c=5.389 alpha=64.42 beta=64.42 gamma=90.00
Element x y z (fractional)
Ni: 0.750 0.250 0.500
Ni: 0.000 0.000 0.000
B: 0.375 0.385 0.750
B: 0.135 0.625 0.250
B: 0.875 0.865 0.750
B: 0.615 0.125 0.250
P: 0.500 0.500 0.000
P: 0.250 0.750 0.500

Entry 16:
DFT (PBE-GGA) results for crystalline Ni8B2P at its relaxed geometry.

## Properties
Theoretical density (g/cm³): 7.94
D(E_F) (states/eV/cell): 7.1
ΔE_f (meV/atom): -271
Final energy (eV/atom): -6.1818
Energy above the most stable polymorph in this dataset (meV/atom): 0

Unit cell a=3.513 b=5.050 c=6.682 alpha=106.74 beta=105.24 gamma=90.00
Element x y z (fractional)
Ni: 0.325 0.028 0.649
Ni: 0.963 0.224 0.926
Ni: 0.794 0.674 0.589
Ni: 0.206 0.326 0.411
Ni: 0.037 0.776 0.074
Ni: 0.595 0.466 0.190
Ni: 0.675 0.972 0.351
Ni: 0.405 0.534 0.810
P: 0.500 0.000 0.000
B: 0.815 0.297 0.631
B: 0.185 0.703 0.369

Entry 17:
DFT (PBE-GGA) results for crystalline Ni2BP at its relaxed geometry.

## Properties
Theoretical density (g/cm³): 6.71
D(E_F) (states/eV/cell): 1.4
ΔE_f (meV/atom): 206
Final energy (eV/atom): -5.7069
Energy above the most stable polymorph in this dataset (meV/atom): 4

Unit cell a=3.819 b=3.819 c=3.819 alpha=60.00 beta=60.00 gamma=60.00
Element x y z (fractional)
B: 0.000 0.000 0.000
Ni: 0.250 0.250 0.250
Ni: 0.750 0.750 0.750
P: 0.500 0.500 0.500

Entry 18:
DFT (PBE-GGA) results for crystalline Ni2BP at its relaxed geometry.

## Properties
Theoretical density (g/cm³): 5.14
D(E_F) (states/eV/cell): 4.1
ΔE_f (meV/atom): 201
Final energy (eV/atom): -5.7111
Energy above the most stable polymorph in this dataset (meV/atom): 0

Unit cell a=4.305 b=4.305 c=6.332 alpha=70.13 beta=70.13 gamma=90.00
Element x y z (fractional)
Ni: 0.875 0.817 0.750
Ni: 0.567 0.125 0.250
Ni: 0.183 0.625 0.250
Ni: 0.375 0.433 0.750
B: 0.250 0.750 0.500
B: 0.500 0.500 0.000
P: 0.000 0.000 0.000
P: 0.750 0.250 0.500

Entry 19:
DFT (PBE-GGA) results for crystalline Ni8B2P at its relaxed geometry.

## Properties
Theoretical density (g/cm³): 7.69
D(E_F) (states/eV/cell): 6.2
ΔE_f (meV/atom): -140
Final energy (eV/atom): -6.0505
Energy above the most stable polymorph in this dataset (meV/atom): 131

Unit cell a=2.639 b=6.871 c=7.227 alpha=118.38 beta=100.52 gamma=90.00
Element x y z (fractional)
Ni: 0.327 0.510 0.654
Ni: 0.000 0.723 0.000
Ni: 0.673 0.490 0.346
Ni: 0.000 0.277 0.000
Ni: 0.327 0.144 0.654
Ni: 0.673 0.856 0.346
Ni: 0.853 0.853 0.707
Ni: 0.147 0.147 0.293
B: 0.891 0.391 0.781
B: 0.109 0.609 0.219
P: 0.500 0.000 0.000

Entry 20:
DFT (PBE-GGA) results for crystalline NiBP2 at its relaxed geometry.

## Properties
Theoretical density (g/cm³): 4.12
D(E_F) (states/eV/cell): 1.9
ΔE_f (meV/atom): -264
Final energy (eV/atom): -6.0836

Unit cell a=3.108 b=3.108 c=5.479 alpha=90.00 beta=90.00 gamma=90.00
Element x y z (fractional)
B: 0.500 0.500 0.500
Ni: 0.000 0.000 0.000
P: 0.500 0.000 0.710
P: 0.000 0.500 0.290

Entry 21:
DFT (PBE-GGA) results for crystalline NiBP2 at its relaxed geometry.

## Properties
Theoretical density (g/cm³): 4.08
D(E_F) (states/eV/cell): 2.9
ΔE_f (meV/atom): -265
Final energy (eV/atom): -6.0851

Unit cell a=6.315 b=3.200 c=5.525 alpha=90.00 beta=106.70 gamma=90.00
Element x y z (fractional)
B: 0.677 0.000 0.308
B: 0.677 0.500 0.808
Ni: 0.186 0.000 0.810
Ni: 0.186 0.500 0.310
P: 0.570 0.500 0.439
P: 0.999 0.000 0.414
P: 0.999 0.500 0.914
P: 0.570 0.000 0.939

Entry 22:
DFT (PBE-GGA) results for crystalline PuNiBP at its relaxed geometry.

## Properties
Theoretical density (g/cm³): 9.77
D(E_F) (states/eV/cell): 16.4
ΔE_f (meV/atom): -594
Final energy (eV/atom): -8.6445

Unit cell a=3.869 b=3.869 c=7.820 alpha=90.00 beta=90.00 gamma=90.00
Site moments in Bohr magnetons follow the coordinates.
Element x y z (fractional)
P: 0.500 0.000 0.851  -0.10
P: 0.000 0.500 0.149  -0.10
Ni: 0.000 0.000 0.500  0.16
Ni: 0.500 0.500 0.500  0.16
B: 0.000 0.500 0.398  -0.01
B: 0.500 0.000 0.602  -0.01
Pu: 0.500 0.000 0.203  4.96
Pu: 0.000 0.500 0.797  4.96

Entry 23:
DFT (PBE-GGA) results for crystalline NiBP2Ru at its relaxed geometry.

## Properties
Theoretical density (g/cm³): 4.66
D(E_F) (states/eV/cell): 3.7
ΔE_f (meV/atom): 981
Final energy (eV/atom): -5.5295

Unit cell a=4.576 b=3.957 c=4.576 alpha=90.00 beta=90.00 gamma=90.00
Element x y z (fractional)
Ni: 0.500 0.500 0.500
Ru: 0.000 0.000 0.000
B: 0.000 0.500 0.000
P: 0.000 0.000 0.500
P: 0.500 0.000 0.000

Entry 24:
DFT (PBE-GGA) results for crystalline NiBPS2 at its relaxed geometry.

## Properties
Theoretical density (g/cm³): 3.07
D(E_F) (states/eV/cell): 4.5
Final energy (eV/atom): -3.9061
Formation energy (no corrections) (meV per atom): 1318.6
Energy above the most stable polymorph in this dataset (meV/atom): 406

Unit cell a=4.638 b=4.638 c=4.138 alpha=90.00 beta=90.00 gamma=90.00
Element x y z (fractional)
Ni: 0.000 0.000 0.000
S: 0.000 0.500 0.000
S: 0.500 0.000 0.000
B: 0.500 0.500 0.500
P: 0.000 0.000 0.500

Entry 25:
DFT (PBE-GGA) results for crystalline NiBPS2 at its relaxed geometry.

## Properties
Theoretical density (g/cm³): 3.98
D(E_F) (states/eV/cell): 3.5
Final energy (eV/atom): -4.3116
Formation energy (no corrections) (meV per atom): 913.1
Energy above the most stable polymorph in this dataset (meV/atom): 0

Unit cell a=4.192 b=4.192 c=3.904 alpha=90.00 beta=90.00 gamma=90.00
Site moments in Bohr magnetons follow the coordinates.
Element x y z (fractional)
B: 0.000 0.000 0.000  0.00
S: 0.500 0.000 0.000  0.04
S: 0.000 0.500 0.000  0.04
P: 0.000 0.000 0.500  0.00
Ni: 0.500 0.500 0.500  0.41

Entry 26:
DFT (PBE-GGA) results for crystalline TmNi6BP at its relaxed geometry.

## Properties
Theoretical density (g/cm³): 7.70
D(E_F) (states/eV/cell): 8.3
ΔE_f (meV/atom): -201
Final energy (eV/atom): -5.8948

Unit cell a=7.572 b=6.332 c=7.070 alpha=116.60 beta=122.38 gamma=90.00
Element x y z (fractional)
P: 0.500 0.500 0.000
P: 0.500 0.000 0.000
Ni: 0.798 0.048 0.595
Ni: 0.202 0.952 0.405
Ni: 0.855 0.653 0.250
Ni: 0.145 0.347 0.750
Ni: 0.605 0.347 0.750
Ni: 0.647 0.397 0.294
Ni: 0.395 0.653 0.250
Ni: 0.145 0.903 0.750
Ni: 0.395 0.097 0.250
Ni: 0.353 0.603 0.706
Ni: 0.605 0.903 0.750
Ni: 0.855 0.097 0.250
Tm: 0.065 0.315 0.131
Tm: 0.935 0.685 0.869
B: 0.500 0.000 0.500
B: 0.000 0.000 0.500